Below is a geometry-optimized Dy2YIr structure, with properties calculated at the PBE level.

## Properties
The value obtained for the formation enthalpy at 0 K is -0.40 eV per atom. The polymorph energy (0 for the lowest one) is 181 meV per atom.

Cell: 3.486 3.486 8.825 Å, 90.00 90.00 90.00°
Sites, in units of the cell vectors:
Dy: 0.000 0.000 0.184
Dy: 0.000 0.000 0.816
Y: 0.500 0.500 0.500
Ir: 0.500 0.500 0.000

Below is a geometry-optimized P2OsClF structure, with properties calculated at the PBE level.

## Properties
The calculation puts the raw formation energy at 1165 meV/atom. The polymorph energy (0 for the lowest one) is 912 meV per atom.

Cell: 4.026 4.026 4.755 Å, 90.00 90.00 90.00°
Sites, in units of the cell vectors:
P: 0.000 0.500 0.000
P: 0.500 0.000 0.000
Os: 0.000 0.000 0.500
Cl: 0.500 0.500 0.500
F: 0.500 0.500 0.000

Below is a geometry-optimized Li6BiO4 structure, with properties calculated at the PBE level.

## Properties
The calculation puts the raw formation energy at -1429 meV/atom.

Cell: 5.441 5.441 5.441 Å, 115.86 115.86 97.34°
Sites, in units of the cell vectors:
Li: 0.000 0.500 0.500
Li: 0.008 0.008 0.709
Li: 0.299 0.299 0.291
Li: 0.500 0.000 0.500
Li: 0.701 0.992 0.000
Li: 0.992 0.701 0.000
Bi: 0.500 0.500 0.000
O: 0.118 0.118 0.445
O: 0.327 0.882 0.000
O: 0.673 0.673 0.555
O: 0.882 0.327 0.000

Ordered spin magnetization results: 0.0 0.0 0.9; unit Bohr magnetons per cell.